Entry 1:
Density functional theory data (PBE-GGA) for a geometry-optimized B2HRh4 structure.

E_tot (eV per cell): -189.26
Space-group type: Pnma

Lattice parameters (Å, degrees): 3.2735 9.1057 10.1695 90.00 90.00 90.00
Fractional coordinates of all 28 atoms:
B 0.7500 0.1100 0.8937
B 0.2500 0.8900 0.1063
B 0.7500 0.6100 0.6063
B 0.2500 0.3900 0.3937
B 0.2500 0.4355 0.9171
B 0.7500 0.5645 0.0829
B 0.2500 0.9355 0.5829
B 0.7500 0.0645 0.4171
H 0.2500 0.7816 0.3419
H 0.7500 0.2184 0.6581
H 0.2500 0.2816 0.1581
H 0.7500 0.7184 0.8419
Rh 0.7500 0.0395 0.1021
Rh 0.2500 0.9605 0.8979
Rh 0.7500 0.5395 0.3979
Rh 0.2500 0.4605 0.6021
Rh 0.7500 0.0326 0.6843
Rh 0.2500 0.9674 0.3157
Rh 0.7500 0.5326 0.8157
Rh 0.2500 0.4674 0.1843
Rh 0.7500 0.3227 0.0084
Rh 0.2500 0.6773 0.9916
Rh 0.7500 0.8227 0.4916
Rh 0.2500 0.1773 0.5084
Rh 0.2500 0.2454 0.8005
Rh 0.7500 0.7546 0.1995
Rh 0.2500 0.7454 0.6995
Rh 0.7500 0.2546 0.3005

***

Entry 2:
Density functional theory data (PBE-GGA) for a geometry-optimized PmCu2Au6 structure.

E_tot (eV per cell): -65.16
Formation energy from the elements (eV per atom): 0.0028
Space-group type: Fd-3m

Lattice parameters (Å, degrees): 8.2931 8.2931 8.2931 60.00 60.00 60.00
Fractional coordinates of all 18 atoms:
Pm 0.5000 0.5000 0.5000
Pm 0.7500 0.7500 0.7500
Cu 0.1250 0.1250 0.1250
Cu 0.1250 0.6250 0.1250
Cu 0.1250 0.1250 0.6250
Cu 0.6250 0.1250 0.1250
Au 0.2495 0.2495 0.7505
Au 0.7505 0.7505 0.2495
Au 0.2495 0.7505 0.2495
Au 0.2495 0.7505 0.7505
Au 0.4995 0.4995 0.0005
Au 0.4995 0.0005 0.0005
Au 0.7505 0.2495 0.7505
Au 0.0005 0.0005 0.4995
Au 0.4995 0.0005 0.4995
Au 0.0005 0.4995 0.4995
Au 0.7505 0.2495 0.2495
Au 0.0005 0.4995 0.0005

***

Entry 3:
Density functional theory data (PBE-GGA) for a geometry-optimized KMn2Pt structure.

E_tot (eV per cell): -23.84
Distance to the lowest polymorph of the same formula (meV/atom): 61.8
Formation energy from the elements (eV per atom): 0.4092
Space-group type: Cm

Lattice parameters (Å, degrees): 4.7584 4.7584 7.1623 84.21 84.21 35.98
Fractional coordinates of all 4 atoms:
K 0.2415 0.2415 0.2665
Mn 0.0202 0.0202 0.9007
Mn 0.7523 0.7523 0.7237
Pt 0.4860 0.4860 0.6092

***

Entry 4:
Density functional theory data (PBE-GGA) for a geometry-optimized TiReMoIr structure.

E_tot (eV per cell): -40.85
Formation energy from the elements (eV per atom): -0.2045
Space-group type: F-43m

Lattice parameters (Å, degrees): 4.4155 4.4155 4.4155 60.00 60.00 60.00
Fractional coordinates of all 4 atoms:
Re 0.2500 0.2500 0.2500
Mo 0.5000 0.5000 0.5000
Ir 0.0000 0.0000 0.0000
Ti 0.7500 0.7500 0.7500

***

Entry 5:
Density functional theory data (PBE-GGA) for a geometry-optimized Li2TbPrCd4 structure.

E_tot (eV per cell): -19.06
Formation energy from the elements (eV per atom): -0.2703
Space-group type: R-3m

Lattice parameters (Å, degrees): 5.1159 5.1159 8.9226 73.34 73.34 60.00
Fractional coordinates of all 8 atoms:
Li 0.7515 0.7515 0.7456
Li 0.2485 0.2485 0.2544
Tb 0.5000 0.5000 0.5000
Pr 0.0000 0.0000 0.0000
Cd 0.3781 0.3781 0.8656
Cd 0.8732 0.8732 0.3805
Cd 0.1268 0.1268 0.6195
Cd 0.6219 0.6219 0.1344

***

Entry 6:
Density functional theory data (PBE-GGA) for a geometry-optimized AcCdNiSb structure.

Formation energy from raw total energies (kJ per mole of atoms): -15.75
E_tot (eV per cell): -15.58
Space-group type: F-43m

Lattice parameters (Å, degrees): 5.1837 5.1837 5.1837 60.00 60.00 60.00
Fractional coordinates of all 4 atoms:
Sb 0.7500 0.7500 0.7500
Ac 0.2500 0.2500 0.2500
Ni 0.0000 0.0000 0.0000
Cd 0.5000 0.5000 0.5000

***

Entry 7:
Density functional theory data (PBE-GGA) for a geometry-optimized InIr2C structure.

E_tot (eV per cell): -24.03
Distance to the lowest polymorph of the same formula (meV/atom): 1166.7
Formation energy from the elements (eV per atom): 1.4140
Space-group type: Fm-3m

Lattice parameters (Å, degrees): 4.3535 4.3535 4.3535 60.00 60.00 60.00
Fractional coordinates of all 4 atoms:
C 0.0000 0.0000 0.0000
Ir 0.2500 0.2500 0.2500
Ir 0.7500 0.7500 0.7500
In 0.5000 0.5000 0.5000

***

Entry 8:
Density functional theory data (PBE-GGA) for a geometry-optimized CsRb2LiPb structure.

E_tot (eV per cell): -8.39
Distance to the lowest polymorph of the same formula (meV/atom): 0.0
Formation energy from the elements (eV per atom): 0.0038
Space-group type: P4/mmm

Lattice parameters (Å, degrees): 6.8846 6.8846 5.5065 90.00 90.00 90.00
Fractional coordinates of all 5 atoms:
Pb 0.0000 0.0000 0.5000
Cs 0.5000 0.5000 0.5000
Rb 0.0000 0.5000 0.0000
Rb 0.5000 0.0000 0.0000
Li 0.0000 0.0000 0.0000

***

Entry 9:
Density functional theory data (PBE-GGA) for a geometry-optimized Na2CaMo structure.

E_tot (eV per cell): -21.95
Distance to the lowest polymorph of the same formula (meV/atom): 147.8
Formation energy from the elements (eV per atom): 1.1236
Space-group type: I-42d

Lattice parameters (Å, degrees): 8.9110 8.9110 7.0644 50.90 50.90 90.00
Fractional coordinates of all 8 atoms:
Na 0.6519 0.1250 0.2500
Na 0.0981 0.6250 0.2500
Na 0.3750 0.3481 0.7500
Na 0.8750 0.9019 0.7500
Mo 0.0000 0.0000 0.0000
Mo 0.7500 0.2500 0.5000
Ca 0.5000 0.5000 0.0000
Ca 0.2500 0.7500 0.5000

***

Entry 10:
Density functional theory data (PBE-GGA) for a geometry-optimized Sr2Mg2Pb structure.

E_tot (eV per cell): -22.26
Formation energy from the elements (eV per atom): -0.1739
Space-group type: P4/mbm

Lattice parameters (Å, degrees): 7.9658 7.9658 5.3931 90.00 90.00 90.00
Fractional coordinates of all 10 atoms:
Pb 0.0000 0.0000 0.0000
Pb 0.5000 0.5000 0.0000
Sr 0.1801 0.6801 0.5000
Sr 0.6801 0.8199 0.5000
Sr 0.8199 0.3199 0.5000
Sr 0.3199 0.1801 0.5000
Mg 0.3722 0.8722 0.0000
Mg 0.8722 0.6278 0.0000
Mg 0.6278 0.1278 0.0000
Mg 0.1278 0.3722 0.0000

***

Entry 11:
Density functional theory data (PBE-GGA) for a geometry-optimized LiVSb2Te structure.

Formation energy from raw total energies (kJ per mole of atoms): 79.43
E_tot (eV per cell): -18.30
Distance to the lowest polymorph of the same formula (meV/atom): 690.4
Space-group type: P4/mmm

Lattice parameters (Å, degrees): 4.8556 4.8556 5.1385 90.00 90.00 90.00
Fractional coordinates of all 5 atoms:
Sb 0.0000 0.5000 0.0000
Sb 0.5000 0.0000 0.0000
Te 0.0000 0.0000 0.5000
Li 0.0000 0.0000 0.0000
V 0.5000 0.5000 0.5000

***

Entry 12:
Density functional theory data (PBE-GGA) for a geometry-optimized TbPm4Cd5 structure.

E_tot (eV per cell): -31.39
Formation energy from the elements (eV per atom): -0.3184
Space-group type: P4/mmm

Lattice parameters (Å, degrees): 3.8143 3.8143 19.1078 90.00 90.00 90.00
Fractional coordinates of all 10 atoms:
Tb 0.0000 0.0000 0.0000
Pm 0.0000 0.0000 0.1972
Pm 0.0000 0.0000 0.3990
Pm 0.0000 0.0000 0.6010
Pm 0.0000 0.0000 0.8028
Cd 0.5000 0.5000 0.0949
Cd 0.5000 0.5000 0.2985
Cd 0.5000 0.5000 0.5000
Cd 0.5000 0.5000 0.7015
Cd 0.5000 0.5000 0.9051

***

Entry 13:
Density functional theory data (PBE-GGA) for a geometry-optimized CsSbPbI6 structure.

Formation energy from raw total energies (kJ per mole of atoms): -68.73
E_tot (eV per cell): -24.40
Space-group type: P312

Lattice parameters (Å, degrees): 8.1838 8.1838 8.5423 90.00 90.00 60.00
Fractional coordinates of all 9 atoms:
Cs 0.0000 0.0000 0.0000
Sb 0.3333 0.3333 0.5000
Pb 0.6667 0.6667 0.5000
I 0.0192 0.3635 0.2864
I 0.3635 0.0192 0.7135
I 0.6172 0.3635 0.7135
I 0.0192 0.6173 0.7135
I 0.3635 0.6173 0.2864
I 0.6173 0.0192 0.2864

***

Entry 14:
Density functional theory data (PBE-GGA) for a geometry-optimized FeNi4B2 structure.

E_tot (eV per cell): -45.42
Formation energy from the elements (eV per atom): -0.0680
Space-group type: Cmmm

Lattice parameters (Å, degrees): 3.3814 3.3867 6.1669 105.94 90.00 90.00
Fractional coordinates of all 7 atoms:
Fe 0.0000 0.0000 0.0000
Ni 0.5000 0.8319 0.6637
Ni 0.0000 0.6717 0.3433
Ni 0.5000 0.1681 0.3363
Ni 0.0000 0.3283 0.6567
B 0.5000 0.5722 0.1445
B 0.5000 0.4278 0.8555

***

Entry 15:
Density functional theory data (PBE-GGA) for a geometry-optimized Ho3PuO7 structure.

Formation energy from raw total energies (kJ per mole of atoms): -323.32
E_tot (eV per cell): -199.27
Space-group type: Cmcm

Lattice parameters (Å, degrees): 6.5412 6.5412 7.6437 90.00 90.00 109.81
Fractional coordinates of all 22 atoms:
Ho 0.5002 0.5002 0.5000
Ho 0.4998 0.4998 0.0000
Ho 0.5326 0.0041 0.2500
Ho 0.4674 0.9959 0.7500
Ho 0.0041 0.5326 0.7500
Ho 0.9959 0.4674 0.2500
Pu 0.0000 0.0000 0.5000
Pu 0.0000 0.0000 0.0000
O 0.6628 0.9140 0.5301
O 0.3372 0.0860 0.0301
O 0.9140 0.6628 0.4699
O 0.0860 0.3372 0.9699
O 0.0858 0.3371 0.5301
O 0.9142 0.6629 0.0301
O 0.3371 0.0858 0.4699
O 0.6629 0.9142 0.9699
O 0.3667 0.6333 0.2500
O 0.6333 0.3667 0.7500
O 0.6338 0.3662 0.2500
O 0.3662 0.6338 0.7500
O 0.9051 0.0949 0.2500
O 0.0949 0.9051 0.7500

***

Entry 16:
Density functional theory data (PBE-GGA) for a geometry-optimized SrZrTi2 structure.

E_tot (eV per cell): -23.31
Distance to the lowest polymorph of the same formula (meV/atom): 0.0
Formation energy from the elements (eV per atom): 0.6780
Space-group type: Fm-3m

Lattice parameters (Å, degrees): 5.1305 5.1305 5.1305 60.00 60.00 60.00
Fractional coordinates of all 4 atoms:
Sr 0.0000 0.0000 0.0000
Zr 0.5000 0.5000 0.5000
Ti 0.2500 0.2500 0.2500
Ti 0.7500 0.7500 0.7500

***

Entry 17:
Density functional theory data (PBE-GGA) for a geometry-optimized IrPt2Cl structure.

Formation energy from raw total energies (kJ per mole of atoms): 50.33
E_tot (eV per cell): -20.70
Distance to the lowest polymorph of the same formula (meV/atom): 234.5
Space-group type: P4mm

Lattice parameters (Å, degrees): 2.8995 2.8995 7.9586 90.00 90.00 90.00
Fractional coordinates of all 4 atoms:
Ir 0.5000 0.5000 0.7664
Pt 0.0000 0.0000 0.9847
Pt 0.5000 0.5000 0.2165
Cl 0.0000 0.0000 0.5324

***

Entry 18:
Density functional theory data (PBE-GGA) for a geometry-optimized BaPt2Se structure.

Formation energy from raw total energies (kJ per mole of atoms): -12.32
E_tot (eV per cell): -18.00
Space-group type: I4/mmm

Lattice parameters (Å, degrees): 5.8022 5.8022 5.8022 136.46 136.46 63.27
Fractional coordinates of all 4 atoms:
Ba 0.7500 0.2500 0.5000
Pt 0.0000 0.0000 0.0000
Pt 0.5000 0.5000 0.0000
Se 0.2500 0.7500 0.5000

***

Entry 19:
Density functional theory data (PBE-GGA) for a geometry-optimized Pr2Si4Tc3 structure.

Formation energy from raw total energies (kJ per mole of atoms): -43.70
E_tot (eV per cell): -132.85
Space-group type: Cmce

Lattice parameters (Å, degrees): 5.6011 7.5145 8.0967 90.00 110.24 90.00
Fractional coordinates of all 18 atoms:
Pr 0.1072 0.5969 0.2143
Pr 0.8928 0.4031 0.7857
Pr 0.3928 0.0969 0.7857
Pr 0.6072 0.9031 0.2143
Si 0.6889 0.7500 0.8778
Si 0.8111 0.2500 0.1222
Si 0.3111 0.2500 0.1222
Si 0.1889 0.7500 0.8778
Si 0.1811 0.9827 0.3622
Si 0.8189 0.0173 0.6378
Si 0.3189 0.4827 0.6378
Si 0.6811 0.5173 0.3622
Tc 0.0000 0.0000 0.0000
Tc 0.5000 0.5000 0.0000
Tc 0.5254 0.7500 0.5508
Tc 0.9746 0.2500 0.4492
Tc 0.4746 0.2500 0.4492
Tc 0.0254 0.7500 0.5508

***

Entry 20:
Density functional theory data (PBE-GGA) for a geometry-optimized RbNa9Au3 structure.

E_tot (eV per cell): -24.62
Formation energy from the elements (eV per atom): -0.1496
Space-group type: C2/m

Lattice parameters (Å, degrees): 6.4365 8.3237 8.4315 81.39 67.56 66.91
Fractional coordinates of all 13 atoms:
Rb 0.0000 0.0000 0.0000
Na 0.7090 0.7832 0.7660
Na 0.2910 0.2168 0.2340
Na 0.5250 0.2168 0.7660
Na 0.4750 0.7832 0.2340
Na 0.6501 0.3215 0.3540
Na 0.3499 0.6785 0.6460
Na 0.9959 0.6785 0.3540
Na 0.0041 0.3215 0.6460
Na 0.0000 0.5000 0.0000
Au 0.5000 0.5000 0.0000
Au 0.0000 0.0000 0.5000
Au 0.5000 0.0000 0.5000

***

Entry 21:
Density functional theory data (PBE-GGA) for a geometry-optimized TbScTiIn structure.

E_tot (eV per cell): -22.01
Formation energy from the elements (eV per atom): -0.1041
Space-group type: F-43m

Lattice parameters (Å, degrees): 5.1258 5.1258 5.1258 60.00 60.00 60.00
Fractional coordinates of all 4 atoms:
Sc 0.2500 0.2500 0.2500
Ti 0.5000 0.5000 0.5000
Tb 0.7500 0.7500 0.7500
In 0.0000 0.0000 0.0000

***

Entry 22:
Density functional theory data (PBE-GGA) for a geometry-optimized NaTc3Hg structure.

E_tot (eV per cell): -21.17
Distance to the lowest polymorph of the same formula (meV/atom): 0.0
Formation energy from the elements (eV per atom): 2.3092
Space-group type: Pm-3m

Lattice parameters (Å, degrees): 5.2006 5.2006 5.2006 90.00 90.00 90.00
Fractional coordinates of all 5 atoms:
Na 0.5000 0.5000 0.5000
Hg 0.0000 0.0000 0.0000
Tc 0.0000 0.5000 0.0000
Tc 0.0000 0.0000 0.5000
Tc 0.5000 0.0000 0.0000

***

Entry 23:
Density functional theory data (PBE-GGA) for a geometry-optimized CaBiPtRh structure.

E_tot (eV per cell): -20.81
Formation energy from the elements (eV per atom): -0.3845
Space-group type: F-43m

Lattice parameters (Å, degrees): 4.8561 4.8561 4.8561 60.00 60.00 60.00
Fractional coordinates of all 4 atoms:
Ca 0.5000 0.5000 0.5000
Rh 0.7500 0.7500 0.7500
Bi 0.0000 0.0000 0.0000
Pt 0.2500 0.2500 0.2500

***

Entry 24:
Density functional theory data (PBE-GGA) for a geometry-optimized BaLa2Ni structure.

E_tot (eV per cell): -16.08
Distance to the lowest polymorph of the same formula (meV/atom): 471.6
Formation energy from the elements (eV per atom): 0.3703
Space-group type: I-4m2

Lattice parameters (Å, degrees): 6.5850 6.5850 6.5850 138.92 138.92 59.50
Fractional coordinates of all 4 atoms:
Ba 0.7500 0.2500 0.5000
La 0.0000 0.0000 0.0000
La 0.2500 0.7500 0.5000
Ni 0.5000 0.5000 0.0000